Entry 1:
5
Lattice="5.759 0.000 0.000 0.000 5.759 0.000 0.000 0.000 5.759" Properties=species:S:1:pos:R:3 comment="PBE-GGA NpHgBr3, relaxed" space_group="Pm-3m, No. 221" total_energy_ev_per_cell=-23.0 relative_energy_ev_per_atom=0.088 pbc="T T T"
Np 0.000 0.000 0.000
Hg 2.879 2.879 2.879
Br 0.000 2.879 0.000
Br 0.000 0.000 2.879
Br 2.879 0.000 0.000

=====

Entry 2:
12
Lattice="7.313 -0.002 -0.002 -3.656 6.333 -0.002 -1.222 -2.115 7.680" Properties=species:S:1:pos:R:3 comment="PBE-GGA K3Pm2ScSe6, relaxed" space_group="C2/m, No. 12" total_energy_ev_per_cell=-60.5 pbc="T T T"
K -2.409 4.203 3.838
K 4.845 0.013 3.838
K 1.218 2.108 3.838
Pm 0.004 4.220 -0.002
Pm 3.653 2.112 -0.002
Sc 0.000 0.000 0.000
Se 3.591 2.216 6.107
Se 2.503 4.334 1.569
Se -1.156 2.000 1.569
Se 0.125 4.218 6.107
Se -0.068 -0.117 6.107
Se 2.310 -0.002 1.569